DFT (PBE) results for an optimized crystal structure of Sc2CdAg3.

a b c (Å): 3.4300 3.4300 10.1650
angles (deg): 90.00 90.00 90.00
Sites, in units of the cell vectors:
Sc  0.0000  0.0000  0.1690
Sc  0.0000  0.0000  0.8310
Cd  0.0000  0.0000  0.5000
Ag  0.5000  0.5000  0.0000
Ag  0.5000  0.5000  0.3316
Ag  0.5000  0.5000  0.6684

Calculated values
* energy of formation from the pure elements: -0.23 eV per atom
* V: 119.59 Å³/f.u.
* total moment: 0.000 μB per formula unit